#one
Computed, not measured: an optimized crystal structure of BaSbSCl2 at the PBE-GGA level of DFT.

Values from the calculation:
Space group: P4/mmm
N(E_F) (states/eV per cell): 1.7

Geometry as CIF:
```
data_BaSbSCl2
_cell_length_a 5.401
_cell_length_b 5.401
_cell_length_c 5.459
_cell_angle_alpha 90.00
_cell_angle_beta 90.00
_cell_angle_gamma 90.00
_symmetry_space_group_name_H-M 'P 1'
_symmetry_Int_Tables_number 1
loop_
_symmetry_equiv_pos_as_xyz
'x,y,z'
loop_
_atom_site_label
_atom_site_fract_x
_atom_site_fract_y
_atom_site_fract_z
S1 0.000 0.000 0.500
Sb1 0.000 0.000 0.000
Ba1 0.500 0.500 0.500
Cl1 0.500 0.000 0.000
Cl2 0.000 0.500 0.000
```



#two
Computed, not measured: an optimized crystal structure of BaSbSCl2 at the PBE-GGA level of DFT.

Values from the calculation:
Space group: P4/mmm
N(E_F) (states/eV per cell): 4.9

Geometry as CIF:
```
data_BaSbSCl2
_cell_length_a 5.813
_cell_length_b 5.813
_cell_length_c 6.366
_cell_angle_alpha 90.00
_cell_angle_beta 90.00
_cell_angle_gamma 90.00
_symmetry_space_group_name_H-M 'P 1'
_symmetry_Int_Tables_number 1
loop_
_symmetry_equiv_pos_as_xyz
'x,y,z'
loop_
_atom_site_label
_atom_site_fract_x
_atom_site_fract_y
_atom_site_fract_z
Ba1 0.000 0.000 0.000
Cl1 0.500 0.000 0.000
Sb1 0.500 0.500 0.500
S1 0.000 0.000 0.500
Cl2 0.000 0.500 0.000
```



Most stable: #one (next structure +52.6 kJ/mol of atoms)



#one
Computed, not measured: an optimized crystal structure of BaSbS2Cl at the PBE-GGA level of DFT.

Values from the calculation:
Space group: P4/mmm
N(E_F) (states/eV per cell): 5.1

Geometry as CIF:
```
data_BaSbS2Cl
_cell_length_a 5.844
_cell_length_b 5.844
_cell_length_c 5.617
_cell_angle_alpha 90.00
_cell_angle_beta 90.00
_cell_angle_gamma 90.00
_symmetry_space_group_name_H-M 'P 1'
_symmetry_Int_Tables_number 1
loop_
_symmetry_equiv_pos_as_xyz
'x,y,z'
loop_
_atom_site_label
_atom_site_fract_x
_atom_site_fract_y
_atom_site_fract_z
S1 0.000 0.500 0.000
Cl1 0.000 0.000 0.500
S2 0.500 0.000 0.000
Sb1 0.500 0.500 0.500
Ba1 0.000 0.000 0.000
```



#two
Computed, not measured: an optimized crystal structure of BaSbS2Cl at the PBE-GGA level of DFT.

Values from the calculation:
Space group: P4/mmm
N(E_F) (states/eV per cell): 0.4

Geometry as CIF:
```
data_BaSbS2Cl
_cell_length_a 5.254
_cell_length_b 5.254
_cell_length_c 5.257
_cell_angle_alpha 90.00
_cell_angle_beta 90.00
_cell_angle_gamma 90.00
_symmetry_space_group_name_H-M 'P 1'
_symmetry_Int_Tables_number 1
loop_
_symmetry_equiv_pos_as_xyz
'x,y,z'
loop_
_atom_site_label
_atom_site_fract_x
_atom_site_fract_y
_atom_site_fract_z
S1 0.500 0.000 0.000
S2 0.000 0.500 0.000
Cl1 0.000 0.000 0.500
Sb1 0.000 0.000 0.000
Ba1 0.500 0.500 0.500
```



Most stable: #two (next structure +110.1 kJ/mol of atoms)



#one
Computed, not measured: an optimized crystal structure of BaSiSCl2 at the PBE-GGA level of DFT.

Values from the calculation:
Space group: P4/mmm
N(E_F) (states/eV per cell): 0.5

Geometry as CIF:
```
data_BaSiSCl2
_cell_length_a 5.034
_cell_length_b 5.034
_cell_length_c 5.037
_cell_angle_alpha 90.00
_cell_angle_beta 90.00
_cell_angle_gamma 90.00
_symmetry_space_group_name_H-M 'P 1'
_symmetry_Int_Tables_number 1
loop_
_symmetry_equiv_pos_as_xyz
'x,y,z'
loop_
_atom_site_label
_atom_site_fract_x
_atom_site_fract_y
_atom_site_fract_z
Ba1 0.500 0.500 0.500
Cl1 0.500 0.000 0.000
Cl2 0.000 0.500 0.000
S1 0.000 0.000 0.500
Si1 0.000 0.000 0.000
```



#two
Computed, not measured: an optimized crystal structure of BaSiSCl2 at the PBE-GGA level of DFT.

Values from the calculation:
Space group: P4/mmm
N(E_F) (states/eV per cell): 3.1

Geometry as CIF:
```
data_BaSiSCl2
_cell_length_a 5.767
_cell_length_b 5.767
_cell_length_c 6.140
_cell_angle_alpha 90.00
_cell_angle_beta 90.00
_cell_angle_gamma 90.00
_symmetry_space_group_name_H-M 'P 1'
_symmetry_Int_Tables_number 1
loop_
_symmetry_equiv_pos_as_xyz
'x,y,z'
loop_
_atom_site_label
_atom_site_fract_x
_atom_site_fract_y
_atom_site_fract_z
Cl1 0.500 0.000 0.000
Cl2 0.000 0.500 0.000
S1 0.000 0.000 0.500
Si1 0.500 0.500 0.500
Ba1 0.000 0.000 0.000
```



Most stable: #one (next structure +95.0 kJ/mol of atoms)